Entry 1:
This record from Alexandria describes a geometry-optimized AcSmDy2Bi4 structure. The functional is PBE.

Results
**Raw total energy**: -40.7 eV for the cell shown
**E_form**: -0.89 eV per atom
**Space-group type**: P2/m, No. 10
**Total moment**: 0.000 μB/cell

Lattice parameters (Å, degrees): 7.963 4.607 7.976 90.00 109.46 90.00
Fractional positions:
Ac  0.000  0.000  0.000
Sm  0.000  0.500  0.500
Dy  0.500  0.000  0.500
Dy  0.500  0.500  0.000
Bi  0.261  0.000  0.746
Bi  0.267  0.500  0.264
Bi  0.733  0.500  0.736
Bi  0.739  0.000  0.254

---

Entry 2:
This record from Alexandria describes a geometry-optimized Li2PbI2 structure. The functional is PBE.

Results
**Raw total energy**: -25.9 eV for the cell shown
**Formation energy (no corrections)**: -2.31 eV/f.u.
**Space-group type**: P4/mbm, No. 127
**Total moment**: 0.000 μB/cell

Lattice parameters (Å, degrees): 8.466 8.466 3.885 90.00 90.00 90.00
Fractional positions:
Li  0.148  0.352  0.000
Li  0.352  0.852  0.000
Li  0.648  0.148  0.000
Li  0.852  0.648  0.000
Pb  0.000  0.000  0.000
Pb  0.500  0.500  0.000
I  0.165  0.665  0.500
I  0.335  0.165  0.500
I  0.665  0.835  0.500
I  0.835  0.335  0.500

---

Entry 3:
This record from Alexandria describes a geometry-optimized InRh2C structure. The functional is PBE.

Results
**Raw total energy**: -106.0 eV for the cell shown
**E_form**: 0.04 eV per atom
**Space-group type**: I-42d, No. 122
**Total moment**: 0.000 μB/cell

Lattice parameters (Å, degrees): 6.451 6.451 5.740 90.00 90.00 90.00
Fractional positions:
In  0.000  0.000  0.000
In  0.000  0.500  0.250
In  0.500  0.000  0.750
In  0.500  0.500  0.500
Rh  0.135  0.250  0.625
Rh  0.250  0.635  0.875
Rh  0.250  0.865  0.375
Rh  0.365  0.250  0.125
Rh  0.635  0.750  0.125
Rh  0.750  0.135  0.375
Rh  0.750  0.365  0.875
Rh  0.865  0.750  0.625
C  0.000  0.000  0.500
C  0.000  0.500  0.750
C  0.500  0.000  0.250
C  0.500  0.500  0.000

---

Entry 4:
This record from Alexandria describes a geometry-optimized Y3CO6 structure. The functional is PBE.

Results
**Raw total energy**: -171.3 eV for the cell shown
**Formation energy (no corrections)**: -27.28 eV/f.u.
**Space-group type**: Cmc2_1, No. 36
**Total moment**: 2.000 μB/cell

Lattice parameters (Å, degrees): 6.966 6.966 5.772 90.00 90.00 102.54
Fractional positions:
Y  0.099  0.901  0.500
Y  0.190  0.412  0.469
Y  0.412  0.190  0.969
Y  0.588  0.810  0.469
Y  0.810  0.588  0.969
Y  0.901  0.099  0.000
C  0.319  0.681  0.853
C  0.681  0.319  0.353
O  0.121  0.612  0.800
O  0.154  0.172  0.735
O  0.172  0.154  0.235
O  0.283  0.717  0.352
O  0.388  0.879  0.800
O  0.439  0.561  0.764
O  0.561  0.439  0.264
O  0.612  0.121  0.300
O  0.717  0.283  0.852
O  0.828  0.846  0.735
O  0.846  0.828  0.235
O  0.879  0.388  0.300

---

Entry 5:
This record from Alexandria describes a geometry-optimized AlGe2Se structure. The functional is PBE.

Results
**Raw total energy**: -63.7 eV for the cell shown
**Formation energy (no corrections)**: 0.54 eV/f.u.
**Space-group type**: I-42d, No. 122
**Total moment**: 0.000 μB/cell

Lattice parameters (Å, degrees): 5.858 5.858 12.234 90.00 90.00 90.00
Fractional positions:
Al  0.000  0.000  0.000
Al  0.000  0.500  0.250
Al  0.500  0.000  0.750
Al  0.500  0.500  0.500
Ge  0.230  0.250  0.125
Ge  0.250  0.730  0.375
Ge  0.250  0.770  0.875
Ge  0.270  0.250  0.625
Ge  0.730  0.750  0.625
Ge  0.750  0.230  0.875
Ge  0.750  0.270  0.375
Ge  0.770  0.750  0.125
Se  0.000  0.000  0.500
Se  0.000  0.500  0.750
Se  0.500  0.000  0.250
Se  0.500  0.500  0.000

---

Entry 6:
This record from Alexandria describes a geometry-optimized AcNdErSn structure. The functional is PBE.

Results
**Raw total energy**: -72.6 eV for the cell shown
**E_form**: -0.17 eV per atom
**Space-group type**: F-43m, No. 216
**Total moment**: 0.002 μB/cell

Lattice parameters (Å, degrees): 7.923 7.923 7.923 90.00 90.00 90.00
Fractional positions:
Ac  0.000  0.000  0.000
Ac  0.000  0.500  0.500
Ac  0.500  0.000  0.500
Ac  0.500  0.500  0.000
Nd  0.250  0.250  0.750
Nd  0.250  0.750  0.250
Nd  0.750  0.250  0.250
Nd  0.750  0.750  0.750
Er  0.250  0.250  0.250
Er  0.250  0.750  0.750
Er  0.750  0.250  0.750
Er  0.750  0.750  0.250
Sn  0.000  0.000  0.500
Sn  0.000  0.500  0.000
Sn  0.500  0.000  0.000
Sn  0.500  0.500  0.500